## Pr2HoIn (PBE)

Data for a geometry-optimized Pr2HoIn structure.

Cell and atoms, written as POSCAR:
```
Pr2HoIn
1.0
3.698 0.000 0.000
-1.849 3.203 0.000
0.000 0.000 33.331
Pr Ho In
6 3 3
Cartesian
0.000 0.000 0.000
0.000 0.000 5.840
0.000 2.135 22.221
0.000 2.135 28.061
1.849 1.068 11.110
1.849 1.068 16.951
0.000 0.000 25.137
0.000 2.135 14.026
1.849 1.068 2.916
0.000 0.000 19.595
0.000 2.135 8.485
1.849 1.068 30.705
```

VASP energy: -51.91 eV/cell
Fermi-level density of states: 1.47 states/eV/atom
Space-group type: R3m, No. 160
Polymorph energy (0 for the lowest one): 159 meV per atom
Theoretical density: 7087 kg/m³

***

## LaMg2H7 (PBE)

Data for a geometry-optimized LaMg2H7 structure.

Cell and atoms, written as POSCAR:
```
LaMg2H7
1.0
3.113 -4.734 0.000
3.113 4.734 0.000
0.000 0.000 3.632
La Mg H
1 2 7
Cartesian
0.000 0.000 0.000
3.113 1.826 1.816
3.113 -1.826 1.816
1.089 1.190 1.816
3.113 2.311 0.000
1.089 -1.190 1.816
3.113 0.000 1.816
5.138 1.190 1.816
3.113 -2.311 0.000
5.138 -1.190 1.816
```

VASP energy: -34.49 eV/cell
Fermi-level density of states: 0.00 states/eV/atom
Space-group type: Cmmm, No. 65
Polymorph energy (0 for the lowest one): 76 meV per atom
Theoretical density: 3018 kg/m³

***

## AcSmWN4 (PBE)

Data for a geometry-optimized AcSmWN4 structure.

Cell and atoms, written as POSCAR:
```
AcSmWN4
1.0
3.964 0.000 0.000
0.000 3.964 0.000
0.000 0.000 13.254
Ac Sm W N
2 2 2 8
Cartesian
0.000 0.000 0.000
1.982 1.982 6.627
0.000 0.000 9.376
1.982 1.982 2.749
0.000 0.000 4.485
1.982 1.982 11.112
0.000 0.000 2.589
0.000 0.000 7.095
0.000 1.982 4.676
0.000 1.982 11.303
1.982 0.000 4.676
1.982 0.000 11.303
1.982 1.982 0.469
1.982 1.982 9.216
```

VASP energy: -124.82 eV/cell
Fermi-level density of states: 0.22 states/eV/atom
Space-group type: I4mm, No. 107
Theoretical density: 9841 kg/m³

***

## NdPu3Ru2 (PBE)

Data for a geometry-optimized NdPu3Ru2 structure.

Cell and atoms, written as POSCAR:
```
NdPu3Ru2
1.0
8.665 -1.993 0.000
8.665 1.993 0.000
-4.207 0.000 8.071
Nd Pu Ru
2 6 4
Cartesian
1.599 0.000 1.049
11.523 0.000 7.022
-2.669 0.000 5.264
5.074 0.000 0.985
3.594 0.000 4.208
9.528 0.000 3.864
8.047 0.000 7.087
15.791 0.000 2.807
0.549 0.000 5.612
7.886 0.000 1.195
5.236 0.000 6.877
12.573 0.000 2.459
```

VASP energy: -133.52 eV/cell
Fermi-level density of states: 3.09 states/eV/atom
Space-group type: C2/m, No. 12
Polymorph energy (0 for the lowest one): 0 meV per atom
Theoretical density: 12848 kg/m³